First-principles (PBE+U) data for crystalline PuTlV2O8 at its relaxed geometry, as listed in the Alexandria database.

Computed properties:
Space group: C2/m
E in eV/atom: -7.943

Cell lengths 5.6085, 5.6085, 8.1611 Å; angles 89.17, 89.17, 63.86 degrees
Site moments in Bohr magnetons follow the coordinates.
Atoms (fractional coordinates):
O (0.2920, 0.7900, 0.1814)  -0.06
O (0.6972, 0.6972, 0.4056)  -0.02
O (0.7900, 0.2920, 0.1814)  -0.06
O (0.3028, 0.3028, 0.5944)  -0.02
O (0.7873, 0.7873, 0.0756)  -0.07
O (0.2100, 0.7080, 0.8186)  -0.06
O (0.7080, 0.2100, 0.8186)  -0.06
O (0.2127, 0.2127, 0.9244)  -0.07
Tl (0.0000, 0.0000, 0.5000)  0.00
Pu (0.0000, 0.0000, 0.0000)  3.33
V (0.6428, 0.6428, 0.2149)  0.06
V (0.3572, 0.3572, 0.7851)  0.06